VASP calculation (PBE) on crystalline GdZr2Fe at its relaxed geometry.

Results
Calculated density (g/cm³): 7.6
Crystal system: tetragonal
Formation enthalpy at 0 K (eV per atom): 0.05

abc: 3.2615 3.2615 8.1568
angles: 90.00 90.00 90.00
Last column: nearest neighbours and their distance in Å.
Positions (direct):
Gd: 0.5000 0.5000 0.5000  4 Gd 3.26, 8 Zr 3.45
Fe: 0.5000 0.5000 0.0000  8 Zr 2.76
Zr: 0.0000 0.0000 0.1853  4 Fe 2.76, 1 Zr 3.02
Zr: 0.0000 0.0000 0.8147  4 Fe 2.76, 1 Zr 3.02

---

VASP calculation (PBE) on crystalline Fe8Ge at its relaxed geometry.

Results
Calculated density (g/cm³): 8.1
Crystal system: tetragonal
Formation enthalpy at 0 K (eV per atom): 0.03

abc: 3.9117 5.5864 5.5864
angles: 82.96 69.51 69.51
Last column: nearest neighbours and their distance in Å.
Positions (direct):
Fe: 0.3347 0.0000 0.3307  10 Fe 2.45-2.64, 2 Ge 2.61
Fe: 0.6653 0.0000 0.6693  10 Fe 2.45-2.64, 2 Ge 2.61
Fe: 0.6674 0.3326 0.3326  1 Ge 2.46, 11 Fe 2.48-2.63
Fe: 0.3347 0.3307 0.0000  10 Fe 2.45-2.64, 2 Ge 2.61
Fe: 0.0000 0.3326 0.6674  1 Ge 2.46, 11 Fe 2.48-2.63
Fe: 0.6653 0.6693 0.0000  10 Fe 2.45-2.64, 2 Ge 2.61
Fe: 0.3326 0.6674 0.6674  1 Ge 2.46, 11 Fe 2.48-2.63
Fe: 0.0000 0.6674 0.3326  1 Ge 2.46, 11 Fe 2.48-2.63
Ge: 0.0000 0.0000 0.0000  12 Fe 2.46-2.61

---

VASP calculation (PBE) on crystalline Fe3Ge4 at its relaxed geometry.

Results
Energy above the lowest structure with this stoichiometry (meV per atom): 0.0
Calculated density (g/cm³): 7.0
Crystal system: trigonal
Formation enthalpy at 0 K (eV per atom): 0.26

abc: 6.0444 6.0444 6.0444
angles: 84.63 84.63 84.63
Last column: nearest neighbours and their distance in Å.
Positions (direct):
Fe: 0.5000 0.0000 0.5000  6 Ge 2.40-2.53
Fe: 0.0000 0.5000 0.5000  6 Ge 2.40-2.53
Fe: 0.5000 0.5000 0.0000  6 Ge 2.40-2.53
Fe: 0.5000 0.5000 0.5000  8 Ge 2.37-2.52
Fe: 0.9038 0.9038 0.9038  1 Fe 2.19, 4 Ge 2.23-2.36
Fe: 0.0962 0.0962 0.0962  1 Fe 2.19, 4 Ge 2.23-2.36
Ge: 0.7494 0.2518 0.2518  4 Fe 2.36-2.53
Ge: 0.7482 0.7482 0.2506  4 Fe 2.36-2.53
Ge: 0.7082 0.7082 0.7082  5 Fe 2.23-2.40
Ge: 0.2518 0.2518 0.7494  4 Fe 2.36-2.53
Ge: 0.7482 0.2506 0.7482  4 Fe 2.36-2.53
Ge: 0.2918 0.2918 0.2918  5 Fe 2.23-2.40
Ge: 0.2506 0.7482 0.7482  4 Fe 2.36-2.53
Ge: 0.2518 0.7494 0.2518  4 Fe 2.36-2.53

---

VASP calculation (PBE) on crystalline Fe6Ge5 at its relaxed geometry.

Results
Calculated density (g/cm³): 8.1
Crystal system: monoclinic
Formation enthalpy at 0 K (eV per atom): -0.09

abc: 6.3182 6.3182 7.8048
angles: 74.29 74.29 76.68
Last column: nearest neighbours and their distance in Å.
Positions (direct):
Fe: 0.1259 0.1259 0.9753  3 Fe 2.39-2.58, 5 Ge 2.42-2.54
Fe: 0.9803 0.4584 0.1750  6 Ge 2.48-2.72, 4 Fe 2.58-2.71
Fe: 0.4203 0.4203 0.2796  7 Ge 2.43-2.66
Fe: 0.2515 0.7485 0.5000  6 Ge 2.43-2.47, 4 Fe 2.48-2.71
Fe: 0.5797 0.5797 0.7204  7 Ge 2.43-2.66
Fe: 0.0197 0.5416 0.8250  6 Ge 2.48-2.72, 4 Fe 2.58-2.71
Fe: 0.8741 0.8741 0.0247  3 Fe 2.39-2.58, 5 Ge 2.42-2.54
Fe: 0.4584 0.9803 0.1750  6 Ge 2.48-2.72, 4 Fe 2.58-2.71
Fe: 0.7485 0.2515 0.5000  6 Ge 2.43-2.47, 4 Fe 2.48-2.71
Fe: 0.5416 0.0197 0.8250  6 Ge 2.48-2.72, 4 Fe 2.58-2.71
Fe: 0.5000 0.0000 0.5000  6 Ge 2.44-2.52, 4 Fe 2.48-2.66
Fe: 0.0000 0.5000 0.5000  6 Ge 2.44-2.52, 4 Fe 2.48-2.66
Ge: 0.3445 0.3445 0.6284  8 Fe 2.47-2.66
Ge: 0.3646 0.3646 0.9945  5 Fe 2.42-2.48
Ge: 0.2388 0.8425 0.7885  7 Fe 2.43-2.54
Ge: 0.1504 0.1504 0.4006  7 Fe 2.43-2.51
Ge: 0.8425 0.2388 0.7885  7 Fe 2.43-2.54
Ge: 0.6354 0.6354 0.0055  5 Fe 2.42-2.48
Ge: 0.1575 0.7612 0.2115  7 Fe 2.43-2.54
Ge: 0.8496 0.8496 0.5994  7 Fe 2.43-2.51
Ge: 0.6555 0.6555 0.3716  8 Fe 2.47-2.66
Ge: 0.7612 0.1575 0.2115  7 Fe 2.43-2.54

---

VASP calculation (PBE) on crystalline Fe13Ge3 at its relaxed geometry.

Results
Energy above the lowest structure with this stoichiometry (meV per atom): 0.0
Calculated density (g/cm³): 8.3
Crystal system: cubic
Formation enthalpy at 0 K (eV per atom): -0.07

abc: 5.7318 5.7318 5.7318
angles: 90.00 90.00 90.00
Last column: nearest neighbours and their distance in Å.
Positions (direct):
Fe: 0.7526 0.7526 0.2474  5 Fe 2.46-2.51, 3 Ge 2.49
Fe: 0.7526 0.7526 0.7526  5 Fe 2.46-2.51, 3 Ge 2.49
Fe: 0.7526 0.2474 0.2474  5 Fe 2.46-2.51, 3 Ge 2.49
Fe: 0.2474 0.2474 0.7526  5 Fe 2.46-2.51, 3 Ge 2.49
Fe: 0.2474 0.7526 0.7526  5 Fe 2.46-2.51, 3 Ge 2.49
Fe: 0.0000 0.5000 0.0000  8 Fe 2.47
Fe: 0.0000 0.0000 0.0000  8 Fe 2.46
Fe: 0.2474 0.7526 0.2474  5 Fe 2.46-2.51, 3 Ge 2.49
Fe: 0.7526 0.2474 0.7526  5 Fe 2.46-2.51, 3 Ge 2.49
Fe: 0.5000 0.0000 0.0000  8 Fe 2.47
Fe: 0.2474 0.2474 0.2474  5 Fe 2.46-2.51, 3 Ge 2.49
Fe: 0.0000 0.0000 0.5000  8 Fe 2.47
Fe: 0.5000 0.5000 0.5000  8 Fe 2.51
Ge: 0.0000 0.5000 0.5000  8 Fe 2.49
Ge: 0.5000 0.5000 0.0000  8 Fe 2.49
Ge: 0.5000 0.0000 0.5000  8 Fe 2.49

---

VASP calculation (PBE) on crystalline Fe2Ge3 at its relaxed geometry.

Results
Calculated density (g/cm³): 7.3
Crystal system: trigonal
Formation enthalpy at 0 K (eV per atom): -0.02

abc: 5.3984 5.3984 6.7293
angles: 66.35 66.35 60.00
Last column: nearest neighbours and their distance in Å.
Positions (direct):
Ge: 0.1064 0.7500 0.7500  4 Fe 2.32-2.41
Ge: 0.7500 0.3936 0.7500  4 Fe 2.32-2.41
Ge: 0.3936 0.1064 0.7500  4 Fe 2.32-2.41
Ge: 0.2500 0.6064 0.2500  4 Fe 2.32-2.41
Ge: 0.6064 0.8936 0.2500  4 Fe 2.32-2.41
Ge: 0.8936 0.2500 0.2500  4 Fe 2.32-2.41
Fe: 0.8308 0.8308 0.5076  6 Ge 2.32-2.41
Fe: 0.3308 0.3308 0.0076  6 Ge 2.32-2.41
Fe: 0.1692 0.1692 0.4924  6 Ge 2.32-2.41
Fe: 0.6692 0.6692 0.9924  6 Ge 2.32-2.41

---

VASP calculation (PBE) on crystalline FeGe at its relaxed geometry.

Results
Calculated density (g/cm³): 7.1
Crystal system: orthorhombic
Formation enthalpy at 0 K (eV per atom): 0.06

abc: 4.7861 7.5221 6.6809
angles: 90.00 90.00 90.00
Last column: nearest neighbours and their distance in Å.
Positions (direct):
Fe: 0.2261 0.1410 0.5749  5 Ge 2.38-2.50, 3 Fe 2.45-2.49
Fe: 0.7261 0.3590 0.4251  5 Ge 2.38-2.50, 3 Fe 2.45-2.49
Fe: 0.7739 0.6410 0.9251  5 Ge 2.38-2.50, 3 Fe 2.45-2.49
Fe: 0.2739 0.8590 0.0749  5 Ge 2.38-2.50, 3 Fe 2.45-2.49
Fe: 0.5261 0.6214 0.2483  5 Ge 2.37-2.64, 3 Fe 2.45-2.49
Fe: 0.0261 0.8786 0.7517  5 Ge 2.37-2.64, 3 Fe 2.45-2.49
Fe: 0.4739 0.1214 0.2517  5 Ge 2.37-2.64, 3 Fe 2.45-2.49
Fe: 0.9739 0.3786 0.7483  5 Ge 2.37-2.64, 3 Fe 2.45-2.49
Ge: 0.7125 0.0915 0.6178  5 Fe 2.37-2.64
Ge: 0.2125 0.4085 0.3822  5 Fe 2.37-2.64
Ge: 0.2875 0.5915 0.8822  5 Fe 2.37-2.64
Ge: 0.7875 0.9085 0.1178  5 Fe 2.37-2.64
Ge: 0.2483 0.8426 0.4304  5 Fe 2.38-2.64
Ge: 0.7483 0.6574 0.5696  5 Fe 2.38-2.64
Ge: 0.7517 0.3426 0.0696  5 Fe 2.38-2.64
Ge: 0.2517 0.1574 0.9304  5 Fe 2.38-2.64

---

VASP calculation (PBE) on crystalline FeGe at its relaxed geometry.

Results
Calculated density (g/cm³): 7.1
Crystal system: cubic
Formation enthalpy at 0 K (eV per atom): 0.36

abc: 4.9410 4.9410 4.9410
angles: 90.00 90.00 90.00
Last column: nearest neighbours and their distance in Å.
Positions (direct):
Fe: 0.0000 0.0000 0.0000  6 Ge 2.47
Fe: 0.0000 0.5000 0.5000  6 Ge 2.47
Fe: 0.5000 0.0000 0.5000  6 Ge 2.47
Fe: 0.5000 0.5000 0.0000  6 Ge 2.47
Ge: 0.5000 0.5000 0.5000  6 Fe 2.47
Ge: 0.5000 0.0000 0.0000  6 Fe 2.47
Ge: 0.0000 0.5000 0.0000  6 Fe 2.47
Ge: 0.0000 0.0000 0.5000  6 Fe 2.47

---

VASP calculation (PBE) on crystalline Fe7Ge4 at its relaxed geometry.

Results
Energy above the lowest structure with this stoichiometry (meV per atom): 0.0
Calculated density (g/cm³): 8.2
Crystal system: hexagonal
Formation enthalpy at 0 K (eV per atom): -0.07

abc: 8.0367 8.0367 4.9561
angles: 90.00 90.00 120.00
Last column: nearest neighbours and their distance in Å.
Positions (direct):
Fe: 0.1611 0.3222 0.2500  5 Ge 2.40-2.51, 6 Fe 2.56-2.67
Fe: 0.8389 0.6778 0.7500  5 Ge 2.40-2.51, 6 Fe 2.56-2.67
Fe: 0.6778 0.8389 0.2500  5 Ge 2.40-2.51, 6 Fe 2.56-2.67
Fe: 0.3222 0.1611 0.7500  5 Ge 2.40-2.51, 6 Fe 2.56-2.67
Fe: 0.1611 0.8389 0.2500  5 Ge 2.40-2.51, 6 Fe 2.56-2.67
Fe: 0.8389 0.1611 0.7500  5 Ge 2.40-2.51, 6 Fe 2.56-2.67
Fe: 0.0000 0.0000 0.0000  8 Fe 2.48-2.56
Fe: 0.0000 0.0000 0.5000  8 Fe 2.48-2.56
Fe: 0.5000 0.0000 0.0000  6 Fe 2.48-2.67, 6 Ge 2.52-2.63
Fe: 0.0000 0.5000 0.0000  6 Fe 2.48-2.67, 6 Ge 2.52-2.63
Fe: 0.5000 0.0000 0.5000  6 Fe 2.48-2.67, 6 Ge 2.52-2.63
Fe: 0.5000 0.5000 0.0000  6 Fe 2.48-2.67, 6 Ge 2.52-2.63
Fe: 0.0000 0.5000 0.5000  6 Fe 2.48-2.67, 6 Ge 2.52-2.63
Fe: 0.5000 0.5000 0.5000  6 Fe 2.48-2.67, 6 Ge 2.52-2.63
Ge: 0.8125 0.6250 0.2500  8 Fe 2.45-2.52
Ge: 0.1875 0.3750 0.7500  8 Fe 2.45-2.52
Ge: 0.3750 0.1875 0.2500  8 Fe 2.45-2.52
Ge: 0.6250 0.8125 0.7500  8 Fe 2.45-2.52
Ge: 0.8125 0.1875 0.2500  8 Fe 2.45-2.52
Ge: 0.1875 0.8125 0.7500  8 Fe 2.45-2.52
Ge: 0.3333 0.6667 0.2500  9 Fe 2.40-2.63
Ge: 0.6667 0.3333 0.7500  9 Fe 2.40-2.63

---

VASP calculation (PBE) on crystalline Fe7Ge4 at its relaxed geometry.

Results
Energy above the lowest structure with this stoichiometry (meV per atom): 13.2
Calculated density (g/cm³): 8.0
Crystal system: hexagonal
Formation enthalpy at 0 K (eV per atom): -0.06

abc: 4.0620 4.0620 9.9395
angles: 90.00 90.00 120.00
Last column: nearest neighbours and their distance in Å.
Positions (direct):
Fe: 0.0000 0.0000 0.8765  5 Fe 2.46-2.61, 6 Ge 2.65
Fe: 0.0000 0.0000 0.3762  8 Fe 2.46-2.71, 6 Ge 2.65-2.67
Fe: 0.0000 0.0000 0.1235  5 Fe 2.46-2.61, 6 Ge 2.65
Fe: 0.0000 0.0000 0.6238  8 Fe 2.46-2.71, 6 Ge 2.65-2.67
Fe: 0.6667 0.3333 0.5000  5 Ge 2.35-2.52
Fe: 0.3333 0.6667 0.7606  5 Ge 2.35-2.59, 3 Fe 2.61
Fe: 0.3333 0.6667 0.2394  5 Ge 2.35-2.59, 3 Fe 2.61
Ge: 0.6667 0.3333 0.7532  4 Fe 2.35-2.52
Ge: 0.6667 0.3333 0.2468  4 Fe 2.35-2.52
Ge: 0.3333 0.6667 0.0000  8 Fe 2.38-2.65
Ge: 0.3333 0.6667 0.5000  5 Fe 2.35-2.59